(1)
Below is a geometry-optimized IrRu4Pb structure, with properties calculated at the PBE level.

The space group is F-43m (No. 216) and the conventional cell measures 7.303, 7.303 and 7.303 Å, with angles of 90.00, 90.00 and 90.00 degrees. The inequivalent atoms are Ir at (0.000, 0.000, 0.000), Ru at (0.126, 0.126, 0.374) and Pb at (0.250, 0.250, 0.750).

The calculation puts the spin magnetization at 0.001 μB per atom. The calculation puts the formation energy at 0.76 eV per atom. For the volume, the calculation gives 16.2 Å³ per atom.

***

(2)
Below is a geometry-optimized Ir2RuPb structure, with properties calculated at the PBE level.

The space group is R-3m (No. 166, hexagonal axes) and the conventional cell measures 2.9114, 2.9114 and 27.9186 Å, with angles of 90.00, 90.00 and 120.00 degrees. The inequivalent atoms are Ir at (0.0000, 0.0000, 0.2411), Ru at (0.0000, 0.0000, 0.5000) and Pb at (0.0000, 0.0000, 0.0000).

The calculation puts the spin magnetization at 0.000 μB per atom. The calculation puts the formation energy at 0.55 eV per atom. For the volume, the calculation gives 17.1 Å³ per atom.

***

(3)
Below is a geometry-optimized Ir2RuPb structure, with properties calculated at the PBE level.

The space group is P4/mmm (No. 123) and the conventional cell measures 3.944, 3.944 and 4.227 Å, with angles of 90.00, 90.00 and 90.00 degrees. The inequivalent atoms are Ir at (0.000, 0.500, 0.000), Ru at (0.000, 0.000, 0.500) and Pb at (0.500, 0.500, 0.500).

The calculation puts the spin magnetization at 0.000 μB per atom. The calculation puts the formation energy at 0.51 eV per atom. For the volume, the calculation gives 16.4 Å³ per atom.

***

(4)
Below is a geometry-optimized Ir2RuPb structure, with properties calculated at the PBE level.

The space group is R3m (No. 160, hexagonal axes) and the conventional cell measures 2.9247, 2.9247 and 27.4539 Å, with angles of 90.00, 90.00 and 120.00 degrees. The inequivalent atoms are Ir at (0.0000, 0.0000, 0.0000), Ir at (0.0000, 0.0000, 0.2554), Ru at (0.0000, 0.0000, 0.5142) and Pb at (0.0000, 0.0000, 0.7567).

The calculation puts the spin magnetization at 0.000 μB per atom. The calculation puts the formation energy at 0.59 eV per atom. For the volume, the calculation gives 16.9 Å³ per atom.